Record 1
# Ta6MnCr5

Ta6MnCr5 after structural relaxation (PBE-GGA, the Alexandria database).

POSCAR file:
```
Ta6MnCr5
1.0
6.928 -3.091 0.000
6.928 3.091 0.000
-1.368 0.000 4.142
Ta Mn Cr
6 1 5
direct
0.083 0.584 0.334
0.249 0.751 0.000
0.416 0.917 0.666
0.584 0.083 0.334
0.751 0.249 0.000
0.917 0.416 0.666
0.000 0.000 0.500
0.167 0.167 0.167
0.334 0.334 0.834
0.500 0.500 0.500
0.666 0.666 0.166
0.833 0.833 0.833
```

E_tot ... -10.776 eV per atom
Total magnetic moment ... 0.0 μB/f.u.
Crystal system ... monoclinic
Energy of formation ... -0.0756 eV per atom
Calculated volume ... 14.8 Å³/atom


Record 2
# Mn2NbReC

Mn2NbReC after structural relaxation (PBE-GGA, the Alexandria database).

POSCAR file:
```
Mn2NbReC
1.0
3.886 0.000 0.000
0.000 3.886 0.000
0.000 0.000 4.086
Mn Nb Re C
2 1 1 1
direct
0.000 0.500 0.000
0.500 0.000 0.000
0.000 0.000 0.500
0.500 0.500 0.500
0.500 0.500 0.000
```

E_tot ... -10.070 eV per atom
Total magnetic moment ... 1.5 μB/f.u.
Crystal system ... tetragonal
Energy of formation ... -0.0540 eV per atom
Calculated volume ... 12.3 Å³/atom


Record 3
# NaSr2AuO

NaSr2AuO after structural relaxation (PBE-GGA, the Alexandria database).

POSCAR file:
```
NaSr2AuO
1.0
6.265 0.000 0.000
0.000 6.265 0.000
0.000 0.000 4.274
Na Sr Au O
1 2 1 1
direct
0.000 0.000 0.000
0.000 0.500 0.500
0.500 0.000 0.500
0.500 0.500 0.500
0.500 0.500 0.000
```

E_tot ... -2.781 eV per atom
Total magnetic moment ... 0.0 μB/f.u.
Formation energy without anion corrections ... -0.20 eV/atom
Crystal system ... tetragonal
Calculated volume ... 33.6 Å³/atom
Energy relative to the lowest polymorph listed for this composition ... 1.061 eV per atom


Record 4
# TlCu3P

TlCu3P after structural relaxation (PBE-GGA, the Alexandria database).

POSCAR file:
```
TlCu3P
1.0
4.484 0.000 0.000
0.000 4.484 0.000
0.000 0.000 4.484
Tl Cu P
1 3 1
direct
0.000 0.000 0.000
0.000 0.500 0.500
0.500 0.000 0.500
0.500 0.500 0.000
0.500 0.500 0.500
```

E_tot ... -3.858 eV per atom
Total magnetic moment ... 0.0 μB/f.u.
Crystal system ... cubic
Energy of formation ... 0.1550 eV per atom
Calculated volume ... 18.0 Å³/atom
Energy relative to the lowest polymorph listed for this composition ... 0.000 eV per atom


Record 5
# RbNp2RhO8

RbNp2RhO8 after structural relaxation (PBE-GGA, the Alexandria database).

POSCAR file:
```
RbNp2RhO8
1.0
5.018 0.000 0.000
0.318 5.019 0.000
0.303 0.268 7.180
Rb Np Rh O
1 2 1 8
direct
0.000 0.000 0.000
0.481 0.480 0.264
0.519 0.520 0.736
0.000 0.000 0.500
0.214 0.782 0.694
0.222 0.789 0.305
0.293 0.297 0.485
0.342 0.350 0.949
0.658 0.650 0.051
0.707 0.703 0.515
0.778 0.211 0.695
0.786 0.218 0.306
```

E_tot ... -8.200 eV per atom
Total magnetic moment ... 2.0 μB/f.u.
Formation energy without anion corrections ... -2.04 eV/atom
Crystal system ... triclinic
Calculated volume ... 15.1 Å³/atom


Record 6
# Cd3CuSe

Cd3CuSe after structural relaxation (PBE-GGA, the Alexandria database).

POSCAR file:
```
Cd3CuSe
1.0
5.414 0.000 0.000
0.000 5.414 0.000
0.000 0.000 5.414
Cd Cu Se
3 1 1
direct
0.000 0.000 0.500
0.000 0.500 0.000
0.500 0.000 0.000
0.500 0.500 0.500
0.000 0.000 0.000
```

E_tot ... -1.454 eV per atom
Total magnetic moment ... 0.0 μB/f.u.
Formation energy without anion corrections ... 0.61 eV/atom
Crystal system ... cubic
Calculated volume ... 31.7 Å³/atom
Energy relative to the lowest polymorph listed for this composition ... 0.379 eV per atom


Record 7
# KSb2Mo

KSb2Mo after structural relaxation (PBE-GGA, the Alexandria database).

POSCAR file:
```
KSb2Mo
1.0
8.402 0.000 0.000
0.000 3.537 0.000
-3.281 0.000 7.824
K Sb Mo
2 4 2
direct
0.000 0.000 0.000
0.500 0.500 0.000
0.085 0.500 0.677
0.343 0.500 0.330
0.585 0.000 0.677
0.843 0.000 0.330
0.217 0.000 0.509
0.717 0.500 0.509
```

E_tot ... -4.945 eV per atom
Total magnetic moment ... 1.8 μB/f.u.
Formation energy without anion corrections ... 0.10 eV/atom
Crystal system ... monoclinic
Calculated volume ... 29.1 Å³/atom
Energy relative to the lowest polymorph listed for this composition ... 0.183 eV per atom


Record 8
# TiAl2PbO6

TiAl2PbO6 after structural relaxation (PBE-GGA, the Alexandria database).

POSCAR file:
```
TiAl2PbO6
1.0
4.419 -5.589 0.000
4.419 5.589 0.000
-2.601 0.000 5.601
Ti Al Pb O
2 4 2 12
direct
0.200 0.800 0.750
0.800 0.200 0.250
0.304 0.446 0.337
0.446 0.304 0.837
0.554 0.696 0.163
0.696 0.554 0.663
0.107 0.893 0.250
0.893 0.107 0.750
0.051 0.230 0.206
0.188 0.633 0.464
0.230 0.051 0.706
0.338 0.427 0.048
0.367 0.812 0.036
0.427 0.338 0.548
0.573 0.662 0.452
0.633 0.188 0.964
0.662 0.573 0.952
0.770 0.949 0.294
0.812 0.367 0.536
0.949 0.770 0.794
```

E_tot ... -7.484 eV per atom
Total magnetic moment ... 0.0 μB/f.u.
Formation energy without anion corrections ... -2.60 eV/atom
Crystal system ... monoclinic
Calculated volume ... 13.8 Å³/atom


Record 9
# GaAs2OsSe

GaAs2OsSe after structural relaxation (PBE-GGA, the Alexandria database).

POSCAR file:
```
GaAs2OsSe
1.0
4.670 0.000 0.000
0.000 4.670 0.000
0.000 0.000 5.617
Ga As Os Se
1 2 1 1
direct
0.000 0.000 0.000
0.000 0.500 0.500
0.500 0.000 0.500
0.500 0.500 0.500
0.500 0.500 0.000
```

E_tot ... -4.893 eV per atom
Total magnetic moment ... 0.0 μB/f.u.
Formation energy without anion corrections ... 0.51 eV/atom
Crystal system ... tetragonal
Calculated volume ... 24.5 Å³/atom
Energy relative to the lowest polymorph listed for this composition ... 0.000 eV per atom


Record 10
# Sm3AlSn

Sm3AlSn after structural relaxation (PBE-GGA, the Alexandria database).

POSCAR file:
```
Sm3AlSn
1.0
7.971 0.000 0.000
-3.986 6.903 0.000
0.000 0.000 5.446
Sm Al Sn
6 2 2
direct
0.191 0.381 0.250
0.191 0.809 0.250
0.381 0.191 0.750
0.619 0.809 0.250
0.809 0.191 0.750
0.809 0.619 0.750
0.000 0.000 0.000
0.000 0.000 0.500
0.333 0.667 0.750
0.667 0.333 0.250
```

E_tot ... -4.624 eV per atom
Total magnetic moment ... 0.0 μB/f.u.
Crystal system ... hexagonal
Energy of formation ... -0.2439 eV per atom
Calculated volume ... 30.0 Å³/atom


Record 11
# Rb2AuF5

Rb2AuF5 after structural relaxation (PBE-GGA, the Alexandria database).

POSCAR file:
```
Rb2AuF5
1.0
6.122 0.000 0.000
0.000 6.122 0.000
0.000 0.000 9.034
Rb Au F
4 2 10
direct
0.000 0.500 0.000
0.000 0.500 0.500
0.500 0.000 0.000
0.500 0.000 0.500
0.000 0.000 0.241
0.500 0.500 0.741
0.000 0.000 0.508
0.229 0.229 0.237
0.229 0.771 0.237
0.271 0.271 0.737
0.271 0.729 0.737
0.500 0.500 0.008
0.729 0.271 0.737
0.729 0.729 0.737
0.771 0.229 0.237
0.771 0.771 0.237
```

E_tot ... -3.727 eV per atom
Total magnetic moment ... 0.1 μB/f.u.
Formation energy without anion corrections ... -1.91 eV/atom
Crystal system ... tetragonal
Calculated volume ... 21.2 Å³/atom


Record 12
# CsGe3C

CsGe3C after structural relaxation (PBE-GGA, the Alexandria database).

POSCAR file:
```
CsGe3C
1.0
5.913 0.000 0.000
0.000 5.913 0.000
0.000 0.000 5.913
Cs Ge C
1 3 1
direct
0.000 0.000 0.000
0.000 0.000 0.500
0.000 0.500 0.000
0.500 0.000 0.000
0.500 0.500 0.500
```

E_tot ... -1.674 eV per atom
Total magnetic moment ... 0.5 μB/f.u.
Crystal system ... cubic
Energy of formation ... 3.1123 eV per atom
Calculated volume ... 41.3 Å³/atom
Energy relative to the lowest polymorph listed for this composition ... 1.868 eV per atom


Record 13
# Pr5Nd4Y2

Pr5Nd4Y2 after structural relaxation (PBE-GGA, the Alexandria database).

POSCAR file:
```
Pr5Nd4Y2
1.0
6.059 -3.612 0.000
6.059 3.612 0.000
-1.993 0.000 8.988
Pr Nd Y
5 4 2
direct
0.000 0.000 0.000
0.220 0.664 0.676
0.336 0.780 0.324
0.664 0.220 0.676
0.780 0.336 0.324
0.290 0.290 0.342
0.341 0.341 0.001
0.659 0.659 0.999
0.710 0.710 0.658
0.166 0.166 0.654
0.834 0.834 0.346
```

E_tot ... -4.943 eV per atom
Total magnetic moment ... 0.0 μB/f.u.
Crystal system ... monoclinic
Energy of formation ... 0.1388 eV per atom
Calculated volume ... 35.8 Å³/atom
Energy relative to the lowest polymorph listed for this composition ... 0.008 eV per atom


Record 14
# Er2TmU2Ru5

Er2TmU2Ru5 after structural relaxation (PBE-GGA, the Alexandria database).

POSCAR file:
```
Er2TmU2Ru5
1.0
10.533 0.000 0.000
0.000 10.533 0.000
0.000 0.000 3.583
Er Tm U Ru
4 2 4 10
direct
0.173 0.327 0.000
0.327 0.827 0.000
0.673 0.173 0.000
0.827 0.673 0.000
0.000 0.000 0.000
0.500 0.500 0.000
0.136 0.636 0.000
0.364 0.136 0.000
0.636 0.864 0.000
0.864 0.364 0.000
0.000 0.500 0.500
0.054 0.789 0.500
0.211 0.054 0.500
0.289 0.554 0.500
0.446 0.289 0.500
0.500 0.000 0.500
0.554 0.711 0.500
0.711 0.446 0.500
0.789 0.946 0.500
0.946 0.211 0.500
```

E_tot ... -8.558 eV per atom
Total magnetic moment ... 0.0 μB/f.u.
Crystal system ... tetragonal
Energy of formation ... -0.3029 eV per atom
Calculated volume ... 19.9 Å³/atom


Record 15
# Li2Ca2Cu

Li2Ca2Cu after structural relaxation (PBE-GGA, the Alexandria database).

POSCAR file:
```
Li2Ca2Cu
1.0
3.705 0.000 0.000
0.000 3.705 0.000
0.000 0.000 18.446
Li Ca Cu
4 4 2
direct
0.000 0.500 0.250
0.000 0.500 0.750
0.500 0.000 0.250
0.500 0.000 0.750
0.000 0.000 0.092
0.000 0.000 0.908
0.500 0.500 0.408
0.500 0.500 0.592
0.000 0.000 0.500
0.500 0.500 0.000
```

E_tot ... -2.342 eV per atom
Total magnetic moment ... 0.0 μB/f.u.
Crystal system ... tetragonal
Energy of formation ... 0.0435 eV per atom
Calculated volume ... 25.3 Å³/atom
Energy relative to the lowest polymorph listed for this composition ... 0.014 eV per atom


Record 16
# Na3PS3

Na3PS3 after structural relaxation (PBE-GGA, the Alexandria database).

POSCAR file:
```
Na3PS3
1.0
4.404 -7.621 0.000
4.404 7.621 0.000
0.000 0.000 5.538
Na P S
6 2 6
direct
0.180 0.820 0.750
0.181 0.361 0.750
0.361 0.181 0.250
0.639 0.819 0.750
0.819 0.639 0.250
0.820 0.180 0.250
0.333 0.667 0.250
0.667 0.333 0.750
0.194 0.388 0.250
0.194 0.806 0.250
0.388 0.194 0.750
0.612 0.806 0.250
0.806 0.194 0.750
0.806 0.612 0.750
```

E_tot ... -3.691 eV per atom
Total magnetic moment ... 0.0 μB/f.u.
Formation energy without anion corrections ... -0.58 eV/atom
Crystal system ... orthorhombic
Calculated volume ... 26.5 Å³/atom


Record 17
# PmY2I

PmY2I after structural relaxation (PBE-GGA, the Alexandria database).

POSCAR file:
```
PmY2I
1.0
3.792 0.000 0.000
-1.896 3.284 0.000
0.000 0.000 31.575
Pm Y I
3 6 3
direct
0.000 0.000 0.000
0.333 0.667 0.667
0.667 0.333 0.333
0.000 0.000 0.578
0.000 0.000 0.756
0.333 0.667 0.245
0.333 0.667 0.423
0.667 0.333 0.089
0.667 0.333 0.911
0.000 0.000 0.167
0.333 0.667 0.834
0.667 0.333 0.500
```

E_tot ... -5.145 eV per atom
Total magnetic moment ... 0.0 μB/f.u.
Formation energy without anion corrections ... -0.34 eV/atom
Crystal system ... trigonal
Calculated volume ... 32.8 Å³/atom
Energy relative to the lowest polymorph listed for this composition ... 0.000 eV per atom


Record 18
# TiGe2C

TiGe2C after structural relaxation (PBE-GGA, the Alexandria database).

POSCAR file:
```
TiGe2C
1.0
6.234 0.000 0.000
0.000 6.234 0.000
0.000 0.000 5.976
Ti Ge C
4 8 4
direct
0.000 0.000 0.000
0.000 0.500 0.250
0.500 0.000 0.750
0.500 0.500 0.500
0.172 0.250 0.625
0.250 0.672 0.875
0.250 0.828 0.375
0.328 0.250 0.125
0.672 0.750 0.125
0.750 0.172 0.375
0.750 0.328 0.875
0.828 0.750 0.625
0.000 0.000 0.500
0.000 0.500 0.750
0.500 0.000 0.250
0.500 0.500 0.000
```

E_tot ... -6.110 eV per atom
Total magnetic moment ... 0.0 μB/f.u.
Crystal system ... tetragonal
Energy of formation ... 0.4782 eV per atom
Calculated volume ... 14.5 Å³/atom


Record 19
# La4Pm5Th

La4Pm5Th after structural relaxation (PBE-GGA, the Alexandria database).

POSCAR file:
```
La4Pm5Th
1.0
8.989 -2.550 0.000
8.989 2.550 0.000
-3.778 0.000 8.052
La Pm Th
4 5 1
direct
0.034 0.034 0.268
0.323 0.323 0.571
0.677 0.677 0.429
0.966 0.966 0.732
0.154 0.154 0.698
0.184 0.184 0.113
0.500 0.500 0.000
0.816 0.816 0.887
0.846 0.846 0.302
0.500 0.500 0.500
```

E_tot ... -4.830 eV per atom
Total magnetic moment ... 0.0 μB/f.u.
Crystal system ... monoclinic
Energy of formation ... 0.2578 eV per atom
Calculated volume ... 36.9 Å³/atom
Energy relative to the lowest polymorph listed for this composition ... 0.232 eV per atom


Record 20
# K2PI

K2PI after structural relaxation (PBE-GGA, the Alexandria database).

POSCAR file:
```
K2PI
1.0
8.351 0.000 0.000
0.000 8.351 0.000
0.000 0.000 8.351
K P I
8 4 4
direct
0.250 0.250 0.250
0.250 0.250 0.750
0.250 0.750 0.250
0.250 0.750 0.750
0.750 0.250 0.250
0.750 0.250 0.750
0.750 0.750 0.250
0.750 0.750 0.750
0.000 0.000 0.000
0.000 0.500 0.500
0.500 0.000 0.500
0.500 0.500 0.000
0.000 0.000 0.500
0.000 0.500 0.000
0.500 0.000 0.000
0.500 0.500 0.500
```

E_tot ... -2.637 eV per atom
Total magnetic moment ... 2.0 μB/f.u.
Formation energy without anion corrections ... -0.35 eV/atom
Crystal system ... cubic
Calculated volume ... 36.4 Å³/atom


Record 21
# Ba4Nd3F17

Ba4Nd3F17 after structural relaxation (PBE-GGA, the Alexandria database).

POSCAR file:
```
Ba4Nd3F17
1.0
9.575 0.000 0.000
2.799 9.166 0.000
2.848 2.045 8.983
Ba Nd F
8 6 34
direct
0.000 0.000 0.000
0.041 0.630 0.788
0.427 0.839 0.695
0.470 0.470 0.470
0.623 0.785 0.048
0.677 0.423 0.849
0.779 0.045 0.631
0.844 0.679 0.421
0.119 0.272 0.577
0.199 0.895 0.346
0.259 0.559 0.124
0.336 0.213 0.908
0.575 0.127 0.269
0.913 0.349 0.195
0.007 0.571 0.129
0.067 0.287 0.967
0.090 0.777 0.224
0.133 0.045 0.522
0.180 0.484 0.391
0.187 0.757 0.911
0.201 0.308 0.166
0.225 0.093 0.775
0.243 0.382 0.690
0.272 0.998 0.084
0.281 0.723 0.558
0.335 0.460 0.905
0.374 0.690 0.248
0.383 0.197 0.472
0.431 0.948 0.315
0.470 0.650 0.957
0.476 0.388 0.192
0.514 0.000 0.829
0.531 0.159 0.032
0.554 0.281 0.716
0.598 0.596 0.598
0.647 0.947 0.477
0.697 0.246 0.378
0.714 0.557 0.282
0.722 0.745 0.742
0.752 0.913 0.189
0.779 0.226 0.093
0.813 0.523 0.994
0.870 0.877 0.873
0.907 0.189 0.753
0.936 0.344 0.433
0.940 0.480 0.657
0.990 0.817 0.523
0.992 0.084 0.275
```

E_tot ... -6.260 eV per atom
Total magnetic moment ... 0.1 μB/f.u.
Formation energy without anion corrections ... -4.02 eV/atom
Crystal system ... triclinic
Calculated volume ... 16.4 Å³/atom


Record 22
# AcAuSe

AcAuSe after structural relaxation (PBE-GGA, the Alexandria database).

POSCAR file:
```
AcAuSe
1.0
4.125 0.000 0.000
0.000 4.125 0.000
0.000 0.000 9.648
Ac Au Se
2 2 2
direct
0.000 0.000 0.000
0.500 0.500 0.500
0.000 0.000 0.334
0.500 0.500 0.834
0.000 0.000 0.658
0.500 0.500 0.158
```

E_tot ... -4.802 eV per atom
Total magnetic moment ... 0.0 μB/f.u.
Formation energy without anion corrections ... -1.18 eV/atom
Crystal system ... tetragonal
Calculated volume ... 27.4 Å³/atom
Energy relative to the lowest polymorph listed for this composition ... 0.060 eV per atom